1.
FeHg3Bi: relaxed, PBE.

Results
As for the formation energy from the elements: 490 meV per atom. The density of states at the Fermi level comes out at 0.72 states/eV per atom. The final energy is -2.16 eV per atom. Its space group is Pm-3m (221). The energy above the most stable polymorph in this dataset comes out at 0.000 eV per formula unit.

Lattice parameters (Å, degrees): 5.0975 5.0975 5.0975 90.00 90.00 90.00
With the nearest neighbours (Å) after each atom.
Positions (direct):
1 Fe 0.0000 0.0000 0.0000  6 Hg 2.55
2 Hg 0.0000 0.0000 0.5000  2 Fe 2.55
3 Hg 0.0000 0.5000 0.0000  2 Fe 2.55
4 Hg 0.5000 0.0000 0.0000  2 Fe 2.55
5 Bi 0.5000 0.5000 0.5000  12 Hg 3.60


2.
FeHg2Bi: relaxed, PBE.

Results
As for the formation energy from the elements: 446 meV per atom. The density of states at the Fermi level comes out at 0.56 states/eV per atom. The final energy is -2.79 eV per atom. Its space group is I4_1/amd (141).

Lattice parameters (Å, degrees): 7.6761 7.6761 7.6761 95.98 95.98 142.32
With the nearest neighbours (Å) after each atom.
Positions (direct):
1 Fe 0.3750 0.6250 0.7500  2 Bi 2.48, 4 Hg 2.64
2 Fe 0.6250 0.3750 0.2500  2 Bi 2.48, 4 Hg 2.64
3 Hg 0.0000 0.5000 0.5000  2 Fe 2.64
4 Hg 0.5000 0.0000 0.0000  2 Fe 2.64
5 Hg 0.5000 0.5000 0.0000  2 Fe 2.64
6 Hg 0.5000 0.5000 0.5000  2 Fe 2.64
7 Bi 0.1250 0.8750 0.2500  2 Fe 2.48
8 Bi 0.8750 0.1250 0.7500  2 Fe 2.48


3.
In2FeHgBi: relaxed, PBE.

Results
As for the formation energy from the elements: 165 meV per atom. The density of states at the Fermi level comes out at 0.48 states/eV per atom. The final energy is -3.46 eV per atom. Its space group is P4/mmm (123).

Lattice parameters (Å, degrees): 5.1119 5.1119 5.0285 90.00 90.00 90.00
With the nearest neighbours (Å) after each atom.
Positions (direct):
1 In 0.0000 0.5000 0.0000  2 Fe 2.56
2 In 0.5000 0.0000 0.0000  2 Fe 2.56
3 Fe 0.0000 0.0000 0.0000  2 Bi 2.51, 4 In 2.56
4 Hg 0.5000 0.5000 0.5000  8 In 3.59, 4 Bi 3.61
5 Bi 0.0000 0.0000 0.5000  2 Fe 2.51


4.
MgFeHg2Bi: relaxed, PBE.

Results
As for the formation energy from the elements: 790 meV per atom. The density of states at the Fermi level comes out at 1.40 states/eV per atom. The final energy is -2.12 eV per atom. Its space group is P4/mmm (123).

Lattice parameters (Å, degrees): 5.8949 5.8949 5.0208 90.00 90.00 90.00
With the nearest neighbours (Å) after each atom.
Positions (direct):
1 Mg 0.0000 0.0000 0.0000  8 Hg 3.87, 4 Fe 4.17
2 Fe 0.5000 0.5000 0.0000  2 Bi 2.51
3 Hg 0.0000 0.5000 0.5000  2 Bi 2.95
4 Hg 0.5000 0.0000 0.5000  2 Bi 2.95
5 Bi 0.5000 0.5000 0.5000  2 Fe 2.51


5.
FeHgBi2N: relaxed, PBE.

Results
As for the formation energy from raw total energies: 1.34 eV/atom. The density of states at the Fermi level comes out at 1.41 states/eV per atom. The final energy is -3.63 eV per atom. Its space group is P4/mmm (123).

Lattice parameters (Å, degrees): 4.9132 4.9132 4.9690 90.00 90.00 90.00
With the nearest neighbours (Å) after each atom.
Positions (direct):
1 Fe 0.0000 0.0000 0.0000  4 Bi 2.46, 2 Hg 2.48
2 Hg 0.0000 0.0000 0.5000  2 Fe 2.48
3 Bi 0.0000 0.5000 0.0000  2 Fe 2.46
4 Bi 0.5000 0.0000 0.0000  2 Fe 2.46
5 N 0.5000 0.5000 0.5000  4 Hg 3.47, 8 Bi 3.49


6.
FeHgBiS2: relaxed, PBE.

Results
As for the formation energy from raw total energies: 0.98 eV/atom. The density of states at the Fermi level comes out at 0.97 states/eV per atom. The final energy is -3.20 eV per atom. Its space group is P4/mmm (123).

Lattice parameters (Å, degrees): 5.0504 5.0504 5.0033 90.00 90.00 90.00
With the nearest neighbours (Å) after each atom.
Positions (direct):
1 Fe 0.0000 0.0000 0.0000  2 Hg 2.50
2 Hg 0.0000 0.0000 0.5000  2 Fe 2.50, 4 S 2.53
3 Bi 0.5000 0.5000 0.0000  8 S 3.55, 4 Fe 3.57
4 S 0.0000 0.5000 0.5000  2 Hg 2.53
5 S 0.5000 0.0000 0.5000  2 Hg 2.53


7.
SrFeHgBi2: relaxed, PBE.

Results
As for the formation energy from the elements: 410 meV per atom. The density of states at the Fermi level comes out at 1.11 states/eV per atom. The final energy is -3.23 eV per atom. Its space group is P4/mmm (123).

Lattice parameters (Å, degrees): 5.7946 5.7946 5.0418 90.00 90.00 90.00
With the nearest neighbours (Å) after each atom.
Positions (direct):
1 Sr 0.0000 0.0000 0.0000  8 Bi 3.84, 4 Fe 4.10
2 Fe 0.5000 0.5000 0.0000  2 Hg 2.52
3 Hg 0.5000 0.5000 0.5000  2 Fe 2.52
4 Bi 0.0000 0.5000 0.5000  2 Hg 2.90
5 Bi 0.5000 0.0000 0.5000  2 Hg 2.90


8.
Ho6FeBi3: relaxed, PBE.

Results
As for the formation energy from the elements: -236 meV per atom. The density of states at the Fermi level comes out at 0.92 states/eV per atom. The final energy is -4.99 eV per atom. Its space group is Cmc2_1 (36).

Lattice parameters (Å, degrees): 9.1655 9.1655 7.5534 90.00 90.00 103.04
With the nearest neighbours (Å) after each atom.
Positions (direct):
1 Ho 0.0129 0.9871 0.5000  2 Fe 2.57-2.77
2 Ho 0.0919 0.6117 0.5815  1 Fe 2.65
3 Ho 0.2421 0.7579 0.0219  1 Fe 2.57
4 Ho 0.2954 0.3735 0.0634  4 Bi 3.10-3.19
5 Ho 0.3735 0.2954 0.5634  4 Bi 3.10-3.19
6 Ho 0.3883 0.9081 0.5815  1 Fe 2.65
7 Ho 0.6117 0.0919 0.0815  1 Fe 2.65
8 Ho 0.6265 0.7046 0.0634  4 Bi 3.10-3.19
9 Ho 0.7046 0.6265 0.5634  4 Bi 3.10-3.19
10 Ho 0.7579 0.2421 0.5219  1 Fe 2.57
11 Ho 0.9081 0.3883 0.0815  1 Fe 2.65
12 Ho 0.9871 0.0129 0.0000  2 Fe 2.57-2.77
13 Fe 0.1312 0.8688 0.7554  5 Ho 2.57-2.77
14 Fe 0.8688 0.1312 0.2554  5 Ho 2.57-2.77
15 Bi 0.0710 0.2955 0.7458  7 Ho 3.10-3.32
16 Bi 0.2955 0.0710 0.2458  7 Ho 3.10-3.32
17 Bi 0.3914 0.6086 0.3715  7 Ho 3.16-3.40
18 Bi 0.6086 0.3914 0.8715  7 Ho 3.16-3.40
19 Bi 0.7045 0.9290 0.7458  7 Ho 3.10-3.32
20 Bi 0.9290 0.7045 0.2458  7 Ho 3.10-3.32


9.
Ho3Fe3Bi: relaxed, PBE.

Results
As for the formation energy from the elements: -220 meV per atom. The density of states at the Fermi level comes out at 0.96 states/eV per atom. The final energy is -6.36 eV per atom. Its space group is P6_3/m (176).

Lattice parameters (Å, degrees): 9.2701 9.2701 4.2017 90.00 90.00 120.00
With the nearest neighbours (Å) after each atom.
Positions (direct):
1 Ho 0.0758 0.6841 0.2500  4 Fe 2.81-3.00
2 Ho 0.3159 0.3918 0.2500  4 Fe 2.81-3.00
3 Ho 0.3918 0.0758 0.7500  4 Fe 2.81-3.00
4 Ho 0.6082 0.9242 0.2500  4 Fe 2.81-3.00
5 Ho 0.6841 0.6082 0.7500  4 Fe 2.81-3.00
6 Ho 0.9242 0.3159 0.7500  4 Fe 2.81-3.00
7 Fe 0.0197 0.8627 0.7500  6 Fe 2.38-2.51
8 Fe 0.1373 0.1570 0.7500  6 Fe 2.38-2.51
9 Fe 0.1570 0.0197 0.2500  6 Fe 2.38-2.51
10 Fe 0.8430 0.9803 0.7500  6 Fe 2.38-2.51
11 Fe 0.8627 0.8430 0.2500  6 Fe 2.38-2.51
12 Fe 0.9803 0.1373 0.2500  6 Fe 2.38-2.51
13 Bi 0.3333 0.6667 0.7500  9 Ho 3.24-3.55
14 Bi 0.6667 0.3333 0.2500  9 Ho 3.24-3.55


10.
Ho2FeBi: relaxed, PBE.

Results
As for the formation energy from the elements: 131 meV per atom. The density of states at the Fermi level comes out at 0.58 states/eV per atom. The final energy is -5.24 eV per atom. Its space group is R-3m (166).

Lattice parameters (Å, degrees): 10.0805 10.0805 10.0805 20.53 20.53 20.53
With the nearest neighbours (Å) after each atom.
Positions (direct):
1 Ho 0.1088 0.1088 0.1088  3 Fe 2.69
2 Ho 0.8912 0.8912 0.8912  3 Fe 2.69
3 Fe 0.5000 0.5000 0.5000  6 Ho 2.69
4 Bi 0.0000 0.0000 0.0000  2 Ho 3.22, 6 Bi 3.59


11.
Ho6Fe2Bi: relaxed, PBE.

Results
As for the formation energy from the elements: -221 meV per atom. The density of states at the Fermi level comes out at 0.77 states/eV per atom. The final energy is -5.58 eV per atom. Its space group is Immm (71).

Lattice parameters (Å, degrees): 8.4342 8.4342 8.4342 110.87 110.19 107.38
With the nearest neighbours (Å) after each atom.
Positions (direct):
1 Ho 0.0083 0.2311 0.7772  2 Fe 2.81-3.12
2 Ho 0.1857 0.2868 0.4725  2 Fe 2.92
3 Ho 0.1857 0.7132 0.8988  2 Fe 2.92
4 Ho 0.3147 0.0111 0.6964  3 Fe 2.79-2.85
5 Ho 0.3147 0.6183 0.3036  3 Fe 2.79-2.85
6 Ho 0.4539 0.2311 0.2228  2 Fe 2.81-3.12
7 Ho 0.5461 0.7689 0.7772  2 Fe 2.81-3.12
8 Ho 0.6853 0.3817 0.6964  3 Fe 2.79-2.85
9 Ho 0.6853 0.9889 0.3036  3 Fe 2.79-2.85
10 Ho 0.8143 0.2868 0.1012  2 Fe 2.92
11 Ho 0.8143 0.7132 0.5275  2 Fe 2.92
12 Ho 0.9917 0.7689 0.2228  2 Fe 2.81-3.12
13 Fe 0.1081 0.6081 0.5000  1 Fe 2.16
14 Fe 0.3881 0.0000 0.3881  1 Fe 2.16
15 Fe 0.6119 0.0000 0.6119  1 Fe 2.16
16 Fe 0.8919 0.3919 0.5000  1 Fe 2.16
17 Bi 0.0000 0.0000 0.0000  8 Ho 3.15-3.28
18 Bi 0.5000 0.5000 0.0000  12 Ho 3.44-3.66